The following is a DFT calculation (PBE) of a geometry-optimized NaLa3Br structure.

```
NaLa3Br
1.0
5.7833 0.0000 0.0000
0.0000 5.7833 0.0000
0.0000 0.0000 5.7833
Na La Br
1 3 1
direct
0.0000 0.0000 0.0000
0.0000 0.5000 0.5000
0.5000 0.0000 0.5000
0.5000 0.5000 0.0000
0.5000 0.5000 0.5000
```

Calculated values
space group = No. 221
E above lowest polymorph = 0 meV/atom
raw formation energy = -224.9 meV/atom

The following is a DFT calculation (PBE) of a geometry-optimized NaLa2PBr structure.

```
NaLa2PBr
1.0
5.6423 0.0000 0.0000
0.0000 5.6423 0.0000
0.0000 0.0000 4.9248
Na La P Br
1 2 1 1
direct
0.0000 0.0000 0.0000
0.0000 0.5000 0.5000
0.5000 0.0000 0.5000
0.5000 0.5000 0.0000
0.0000 0.0000 0.5000
```

Calculated values
space group = No. 123
raw formation energy = -252.0 meV/atom

Density of states at the Fermi level
In order: 1.174, 0.922
Unit: states/eV/atom